1.
Crystalline NaAl9Cu3 at its relaxed geometry, computed with PBE.

The structure in POSCAR format:
```
NaAl9Cu3
1.0
4.725 -0.001 1.918
2.273 6.367 0.923
-0.061 0.000 6.929
Cu Al Na
3 9 1
Cartesian
-0.030 0.000 3.464
2.332 -0.001 4.423
3.499 3.183 1.420
3.090 4.183 5.729
6.148 4.183 4.974
5.091 5.002 7.480
2.860 1.364 6.574
0.790 2.183 4.796
1.847 1.364 2.290
3.848 2.183 4.040
1.137 3.183 0.461
4.078 5.002 3.196
0.000 0.000 0.000
```

N(E_F)	4.4	states/eV per cell
size of the total moment	0.0	Bohr magnetons per cell
calculated formation energy	-0.09	eV per atom
calculated density	3.62	g/cm³
uncorrected energy	-48.4	eV per formula unit

=====

2.
Crystalline NaAl5Cu2 at its relaxed geometry, computed with PBE.

The structure in POSCAR format:
```
NaAl5Cu2
1.0
3.942 0.000 0.000
1.971 6.078 -0.102
1.971 1.731 5.827
Al Cu Na
5 2 1
Cartesian
1.971 3.905 2.863
3.942 1.890 3.107
3.942 3.531 0.867
3.942 5.920 2.618
3.942 4.278 4.858
1.971 1.972 1.446
5.913 5.837 4.279
0.000 0.000 0.000
```

N(E_F)	1.7	states/eV per cell
size of the total moment	0.0	Bohr magnetons per cell
calculated formation energy	-0.11	eV per atom
calculated density	3.37	g/cm³
uncorrected energy	-29.1	eV per formula unit

=====

3.
Crystalline NaAl8Cu4 at its relaxed geometry, computed with PBE.

The structure in POSCAR format:
```
NaAl8Cu4
1.0
-1.827 -1.283 4.602
3.897 -4.552 3.120
2.399 3.979 4.904
Al Cu Na
8 4 1
Cartesian
0.864 -0.486 3.050
1.814 1.470 6.815
2.656 -3.327 5.811
3.605 -1.370 9.576
3.485 -0.819 6.840
0.984 -1.038 5.786
2.917 1.027 4.287
3.379 -1.600 3.737
1.035 -2.917 3.861
1.200 1.989 2.452
1.948 -2.276 1.560
0.286 1.348 4.753
0.000 0.000 0.000
```

N(E_F)	3.7	states/eV per cell
size of the total moment	0.0	Bohr magnetons per cell
calculated formation energy	-0.15	eV per atom
calculated density	4.09	g/cm³
uncorrected energy	-49.6	eV per formula unit

=====

- Look up the uncorrected energy of the third one.
  -49.6 eV per formula unit